! Ho2Al2Si3, optimized geometry, DFT GGA-PBE; values from VASP
&SYSTEM
  ibrav = 0, nat = 14, ntyp = 3
/
ATOMIC_SPECIES
Ho 164.93 Ho.upf
Al 26.98 Al.upf
Si 28.09 Si.upf
ATOMIC_POSITIONS crystal
Ho 0.097 0.097 0.442
Ho 0.232 0.232 0.835
Ho 0.768 0.768 0.165
Ho 0.903 0.903 0.558
Al 0.095 0.095 0.163
Al 0.449 0.449 0.186
Al 0.551 0.551 0.814
Al 0.905 0.905 0.837
Si 0.116 0.116 0.964
Si 0.335 0.335 0.680
Si 0.414 0.414 0.380
Si 0.586 0.586 0.620
Si 0.665 0.665 0.320
Si 0.884 0.884 0.036
CELL_PARAMETERS angstrom
7.482 -2.055 0.000
7.482 2.055 0.000
-6.936 0.000 9.222
! uncorrected formation energy = -0.480 eV per atom
! calculated volume = 20.26 Å³ per atom
! density of states at the Fermi level = 3.03 states/eV/f.u.
! space-group type = No. 12
! VASP energy = -5.1815 eV/atom
! spin magnetization = 0.000 μB per atom